No. 1
Below is TiNb2VSb after structural relaxation, with properties calculated at the GGA-PBE level.

Lattice parameters (Å, degrees): 4.675 5.011 4.675 90.00 90.00 90.00
Sites, in units of the cell vectors:
Sb 0.000 0.500 0.000
Nb 0.000 0.000 0.500
Nb 0.500 0.000 0.000
Ti 0.000 0.000 0.000
V 0.500 0.500 0.500

Calculated values
energy relative to the elements, uncorrected	1.32	eV/atom

***

No. 2
Below is NiRhAu2 after structural relaxation, with properties calculated at the GGA-PBE level.

Lattice parameters (Å, degrees): 4.870 4.870 4.808 77.66 77.66 33.91
Sites, in units of the cell vectors:
Au 0.004 0.004 0.992
Au 0.241 0.241 0.261
Ni 0.493 0.493 0.511
Rh 0.762 0.762 0.737

Calculated values
relative energy among the computed polymorphs	75.5	meV per atom
energy of formation from the pure elements	0.16	eV per atom

***

No. 3
Below is GdCrC2 after structural relaxation, with properties calculated at the GGA-PBE level.

Lattice parameters (Å, degrees): 3.188 3.188 5.687 73.72 73.72 60.00
Sites, in units of the cell vectors:
Cr 0.000 0.000 0.000
C 0.732 0.732 0.804
C 0.268 0.268 0.196
Gd 0.500 0.500 0.500

Calculated values
energy of formation from the pure elements	0.16	eV per atom

***

No. 4
Below is Mg3GeH2Pt6 after structural relaxation, with properties calculated at the GGA-PBE level.

Lattice parameters (Å, degrees): 5.522 5.522 7.981 90.00 90.00 120.00
Sites, in units of the cell vectors:
Mg 0.333 0.667 0.634
Mg 0.667 0.333 0.366
Mg 0.000 0.000 0.000
Ge 0.000 0.000 0.500
H 0.667 0.333 0.856
H 0.333 0.667 0.144
Pt 0.659 0.829 0.271
Pt 0.171 0.341 0.271
Pt 0.171 0.829 0.271
Pt 0.829 0.659 0.729
Pt 0.341 0.171 0.729
Pt 0.829 0.171 0.729

***

Calculated uncorrected energy (eV for the cell shown), listed in the same order as above: -34.66; -19.04; -41.50; -57.56